[1]
A plane-wave DFT calculation with PBE-GGA was carried out for a geometry-optimized Ca3CrHg structure.

a = 5.8087 Å, b = 5.8087 Å, c = 5.8087 Å
α = 90.00°, β = 90.00°, γ = 90.00°
Last column: magnetic moment on the atom in μB.
Element x y z (fractional)
Cr1 0.5000 0.5000 0.5000  -4.18
Ca1 0.0000 0.5000 0.0000  0.02
Ca2 0.0000 0.0000 0.5000  0.00
Ca3 0.5000 0.0000 0.0000  0.03
Hg1 0.0000 0.0000 0.0000  0.05

Calculated values
Space group: No. 221
E above lowest polymorph in meV/atom: 0
Crystal system: cubic
Calculated total energy in eV per cell: -14.009
ΔE_f in eV per atom: 0.38

---

[2]
A plane-wave DFT calculation with PBE-GGA was carried out for a geometry-optimized CaCrHg2 structure.

a = 3.7868 Å, b = 3.8013 Å, c = 6.6807 Å
α = 90.00°, β = 90.00°, γ = 90.00°
Last column: magnetic moment on the atom in μB.
Element x y z (fractional)
Cr1 0.5000 0.5000 0.8034  3.85
Ca1 0.0000 0.0000 0.4905  0.02
Hg1 0.0000 0.0000 0.9645  0.00
Hg2 0.5000 0.5000 0.2416  0.00

Calculated values
Space group: No. 25
Crystal system: orthorhombic
Calculated total energy in eV per cell: -11.870
ΔE_f in eV per atom: 0.09